No. 1
Compound: Er2Pa2Os3
Source: Alexandria via LeMat-Bulk
Functional: PBE
Structure: relaxed

Summary:
ΔH_f (0 K) = -0.287 eV per atom
Energy = -127.63 eV per cell
ρ = 13.95 g cm⁻³
Volume = 162.71 Å³/f.u.

a b c (Å): 13.281 4.757 5.165
angles (deg): 90.00 94.34 90.00
Space group C2/m (No. 12)
Symmetry-distinct sites (fractional):
Er 0.092 0.000 0.308 (multiplicity 4)
Pa 0.158 0.500 0.841 (multiplicity 4)
Os 0.000 0.500 0.500 (multiplicity 2)
Os 0.223 0.500 0.315 (multiplicity 4)


No. 2
Compound: ErPaOs
Source: Alexandria via LeMat-Bulk
Functional: PBE
Structure: relaxed

Summary:
E above lowest polymorph = 189 meV/atom
ΔH_f (0 K) = -0.011 eV per atom
Energy = -25.32 eV per cell
ρ = 15.46 g cm⁻³
Volume = 63.20 Å³/f.u.

a b c (Å): 4.7856 4.7856 3.1863
angles (deg): 90.00 90.00 120.00
Space group P3m1 (No. 156)
Symmetry-distinct sites (fractional):
Er 0.0000 0.0000 0.0000 (multiplicity 1)
Pa 0.6667 0.3333 0.6359 (multiplicity 1)
Os 0.3333 0.6667 0.3592 (multiplicity 1)